The following is a PBE-GGA calculation of a relaxed structure of Tb2SmTm6, from Alexandria via LeMat-Bulk.

Lattice parameters (Å, degrees): 6.488 9.450 9.450 95.57 81.17 81.17
Element x y z (fractional)
Tm: 0.731 0.059 0.462
Tm: 0.681 0.221 0.048
Tm: 0.319 0.779 0.952
Tm: 0.181 0.048 0.221
Tm: 0.001 0.279 0.651
Tm: 0.501 0.651 0.279
Tm: 0.269 0.941 0.538
Tm: 0.231 0.462 0.059
Tm: 0.769 0.538 0.941
Tm: 0.999 0.721 0.349
Tm: 0.499 0.349 0.721
Tm: 0.819 0.952 0.779
Tb: 0.130 0.616 0.666
Tb: 0.870 0.384 0.334
Tb: 0.630 0.666 0.616
Tb: 0.370 0.334 0.384
Sm: 0.750 0.879 0.121
Sm: 0.250 0.121 0.879

Summary:
symmetry: C2/c, No. 15

The following is a PBE-GGA calculation of a relaxed structure of Tb16Sm6Tm7, from Alexandria via LeMat-Bulk.

Lattice parameters (Å, degrees): 11.123 11.123 11.123 60.00 60.00 60.00
Element x y z (fractional)
Tb: 0.124 0.629 0.124
Tb: 0.371 0.876 0.876
Tb: 0.124 0.124 0.124
Tb: 0.348 0.956 0.348
Tb: 0.876 0.876 0.371
Tb: 0.876 0.876 0.876
Tb: 0.124 0.124 0.629
Tb: 0.348 0.348 0.348
Tb: 0.956 0.348 0.348
Tb: 0.044 0.652 0.652
Tb: 0.652 0.044 0.652
Tb: 0.652 0.652 0.652
Tb: 0.348 0.348 0.956
Tb: 0.629 0.124 0.124
Tb: 0.876 0.371 0.876
Tb: 0.652 0.652 0.044
Sm: 0.722 0.278 0.722
Sm: 0.278 0.722 0.722
Sm: 0.722 0.722 0.278
Sm: 0.722 0.278 0.278
Sm: 0.278 0.722 0.278
Sm: 0.278 0.278 0.722
Tm: 0.000 0.500 0.000
Tm: 0.500 0.500 0.000
Tm: 0.000 0.500 0.500
Tm: 0.500 0.000 0.500
Tm: 0.000 0.000 0.500
Tm: 0.000 0.000 0.000
Tm: 0.500 0.000 0.000

Summary:
symmetry: Fm-3m, No. 225

The following is a PBE-GGA calculation of a relaxed structure of TbSmTm, from Alexandria via LeMat-Bulk.

Lattice parameters (Å, degrees): 3.557 3.557 7.964 102.91 102.91 90.00
Element x y z (fractional)
Tb: 0.332 0.332 0.663
Tm: 0.668 0.668 0.335
Sm: 0.001 0.001 0.002

Summary:
symmetry: I4mm, No. 107

The following is a PBE-GGA calculation of a relaxed structure of Tb5Sm6Tm, from Alexandria via LeMat-Bulk.

Lattice parameters (Å, degrees): 11.858 6.221 6.218 59.99 85.00 79.97
Element x y z (fractional)
Tb: 0.500 0.166 0.667
Tb: 0.500 0.500 0.000
Tb: 0.000 0.333 0.333
Tb: 0.000 0.667 0.667
Tb: 0.500 0.834 0.333
Sm: 0.751 0.083 0.333
Sm: 0.249 0.250 0.000
Sm: 0.751 0.750 0.000
Sm: 0.249 0.584 0.333
Sm: 0.249 0.917 0.667
Sm: 0.751 0.416 0.667
Tm: 0.000 0.000 0.000

Summary:
symmetry: C2/m, No. 12

The following is a PBE-GGA calculation of a relaxed structure of Tb7Sm2Tm4, from Alexandria via LeMat-Bulk.

Lattice parameters (Å, degrees): 6.066 6.066 13.192 90.00 90.00 120.00
Element x y z (fractional)
Tb: 0.359 0.000 0.220
Tb: 0.641 0.641 0.220
Tb: 0.359 0.359 0.780
Tb: 0.000 0.000 0.000
Tb: 0.641 0.000 0.780
Tb: 0.000 0.641 0.780
Tb: 0.000 0.359 0.220
Tm: 0.333 0.667 0.500
Tm: 0.000 0.000 0.605
Tm: 0.000 0.000 0.395
Tm: 0.667 0.333 0.500
Sm: 0.333 0.667 0.000
Sm: 0.667 0.333 0.000

Summary:
symmetry: P-31m, No. 162

The following is a PBE-GGA calculation of a relaxed structure of Tb5SmTm3, from Alexandria via LeMat-Bulk.

Lattice parameters (Å, degrees): 9.297 9.297 12.777 51.30 51.30 50.81
Element x y z (fractional)
Tm: 0.302 0.302 0.318
Tm: 0.167 0.167 0.662
Tm: 0.000 0.000 0.000
Tm: 0.000 0.000 0.500
Tm: 0.833 0.833 0.338
Tm: 0.698 0.698 0.682
Tb: 0.079 0.492 0.778
Tb: 0.921 0.508 0.222
Tb: 0.558 0.558 0.568
Tb: 0.631 0.631 0.069
Tb: 0.442 0.442 0.432
Tb: 0.369 0.369 0.931
Tb: 0.508 0.921 0.222
Tb: 0.321 0.679 0.000
Tb: 0.492 0.079 0.778
Tb: 0.679 0.321 0.000
Sm: 0.105 0.105 0.130
Sm: 0.895 0.895 0.870

Summary:
symmetry: C2/m, No. 12

The following is a PBE-GGA calculation of a relaxed structure of Tb2Sm5Tm5, from Alexandria via LeMat-Bulk.

Lattice parameters (Å, degrees): 5.021 7.945 10.691 72.75 76.42 71.58
Element x y z (fractional)
Sm: 0.415 0.918 0.251
Sm: 0.500 0.500 0.500
Sm: 0.585 0.082 0.749
Sm: 0.334 0.332 0.999
Sm: 0.666 0.668 0.001
Tb: 0.083 0.582 0.252
Tb: 0.917 0.418 0.748
Tm: 0.168 0.165 0.499
Tm: 0.000 0.000 0.000
Tm: 0.749 0.249 0.252
Tm: 0.832 0.835 0.501
Tm: 0.251 0.751 0.748

Summary:
symmetry: C2/m, No. 12

The following is a PBE-GGA calculation of a relaxed structure of TbSm4Tm5, from Alexandria via LeMat-Bulk.

Lattice parameters (Å, degrees): 6.201 7.890 7.890 81.12 66.86 66.86
Element x y z (fractional)
Tm: 0.721 0.080 0.378
Tm: 0.801 0.378 0.920
Tm: 0.099 0.622 0.080
Tm: 0.179 0.920 0.622
Tm: 0.685 0.000 0.000
Sm: 0.499 0.606 0.301
Sm: 0.405 0.394 0.699
Sm: 0.104 0.301 0.394
Sm: 0.799 0.699 0.606
Tb: 0.219 0.000 0.000

Summary:
symmetry: I4, No. 79

The following is a PBE-GGA calculation of a relaxed structure of TbSm8Tm6, from Alexandria via LeMat-Bulk.

Lattice parameters (Å, degrees): 9.641 9.641 8.220 54.10 54.10 60.00
Element x y z (fractional)
Sm: 0.071 0.640 0.513
Sm: 0.417 0.417 0.750
Sm: 0.929 0.360 0.487
Sm: 0.775 0.071 0.513
Sm: 0.360 0.225 0.487
Sm: 0.583 0.583 0.250
Sm: 0.640 0.775 0.513
Sm: 0.225 0.929 0.487
Tm: 0.924 0.716 0.961
Tm: 0.601 0.076 0.039
Tm: 0.399 0.924 0.961
Tm: 0.284 0.601 0.039
Tm: 0.716 0.399 0.961
Tm: 0.076 0.284 0.039
Tb: 0.000 0.000 0.000

Summary:
symmetry: R-3, No. 148

The following is a PBE-GGA calculation of a relaxed structure of TbSm15Tm4, from Alexandria via LeMat-Bulk.

Lattice parameters (Å, degrees): 5.089 5.089 25.358 90.00 90.00 90.00
Element x y z (fractional)
Sm: 0.000 0.500 0.700
Sm: 0.000 0.500 0.300
Sm: 0.000 0.500 0.101
Sm: 0.500 0.500 0.000
Sm: 0.500 0.000 0.899
Sm: 0.000 0.500 0.500
Sm: 0.500 0.500 0.400
Sm: 0.000 0.500 0.899
Sm: 0.500 0.500 0.600
Sm: 0.500 0.000 0.300
Sm: 0.500 0.000 0.500
Sm: 0.500 0.000 0.700
Sm: 0.500 0.500 0.201
Sm: 0.500 0.500 0.799
Sm: 0.500 0.000 0.101
Tm: 0.000 0.000 0.799
Tm: 0.000 0.000 0.600
Tm: 0.000 0.000 0.201
Tm: 0.000 0.000 0.400
Tb: 0.000 0.000 0.000

Summary:
symmetry: P4/mmm, No. 123

The following is a PBE-GGA calculation of a relaxed structure of Tb3Sm6Tm, from Alexandria via LeMat-Bulk.

Lattice parameters (Å, degrees): 6.407 11.687 11.687 130.67 90.00 90.00
Element x y z (fractional)
Tb: 0.990 0.041 0.294
Tb: 0.490 0.294 0.041
Tb: 0.088 0.421 0.579
Tb: 0.990 0.706 0.959
Tb: 0.490 0.959 0.706
Tb: 0.588 0.579 0.421
Sm: 0.324 0.456 0.894
Sm: 0.822 0.016 0.984
Sm: 0.322 0.984 0.016
Sm: 0.824 0.544 0.106
Sm: 0.067 0.379 0.258
Sm: 0.567 0.621 0.742
Sm: 0.324 0.106 0.544
Sm: 0.824 0.894 0.456
Sm: 0.067 0.742 0.621
Sm: 0.795 0.301 0.699
Sm: 0.295 0.699 0.301
Sm: 0.567 0.258 0.379
Tm: 0.518 0.841 0.159
Tm: 0.018 0.159 0.841

Summary:
symmetry: Cmc2_1, No. 36

The following is a PBE-GGA calculation of a relaxed structure of Tb3Sm8Tm2, from Alexandria via LeMat-Bulk.

Lattice parameters (Å, degrees): 5.706 7.713 10.783 110.96 90.01 90.00
Element x y z (fractional)
Tb: 0.000 0.287 0.000
Tb: 0.500 0.000 0.000
Tb: 0.000 0.713 0.000
Sm: 0.500 0.600 0.785
Sm: 0.000 0.867 0.734
Sm: 0.000 0.672 0.344
Sm: 0.500 0.400 0.215
Sm: 0.000 0.133 0.266
Sm: 0.500 0.815 0.215
Sm: 0.000 0.328 0.656
Sm: 0.500 0.185 0.785
Tm: 0.499 0.241 0.481
Tm: 0.501 0.759 0.519

Summary:
symmetry: C2/m, No. 12

no.,calculated formation energy (eV/f.u.)
1,0.913
2,6.646
3,0.067
4,0.160
5,2.462
6,3.860
7,0.246
8,2.975
9,2.764
10,0.300
11,1.237
12,2.793